# 1
DFT (PBE) results for PmPrEr2 after structural relaxation.

Properties
ΔE_f ... 104 meV/atom
ΔE to the lowest computed polymorph ... 100 meV/atom
SG ... Fm-3m, No. 225

Unit cell a=5.723 b=5.723 c=5.723 alpha=60.00 beta=60.00 gamma=60.00
Fractional positions:
Pm  0.000  0.000  0.000
Pr  0.500  0.500  0.500
Er  0.250  0.250  0.250
Er  0.750  0.750  0.750



# 2
DFT (PBE) results for K2In4AgGe3 after structural relaxation.

Properties
ΔE_f ... -69 meV/atom
SG ... P-4m2, No. 115

Unit cell a=4.859 b=4.859 c=11.594 alpha=90.00 beta=90.00 gamma=90.00
Fractional positions:
K  0.000  0.500  0.246
K  0.500  0.000  0.754
In  0.000  0.000  0.500
In  0.000  0.500  0.871
In  0.500  0.000  0.129
In  0.500  0.500  0.500
Ag  0.500  0.500  0.000
Ge  0.000  0.000  0.000
Ge  0.000  0.500  0.632
Ge  0.500  0.000  0.368



# 3
DFT (PBE) results for Tm3Ir2Rh after structural relaxation.

Properties
ΔE_f ... -934 meV/atom
ΔE to the lowest computed polymorph ... 8 meV/atom
SG ... P4/mmm, No. 123

Unit cell a=3.384 b=3.384 c=10.120 alpha=90.00 beta=90.00 gamma=90.00
Fractional positions:
Tm  0.000  0.000  0.000
Tm  0.000  0.000  0.332
Tm  0.000  0.000  0.668
Ir  0.500  0.500  0.168
Ir  0.500  0.500  0.832
Rh  0.500  0.500  0.500



| no. | density (g/cm³) |
| --- | --- |
| 1 | 7.77 |
| 2 | 5.24 |
| 3 | 14.24 |